No. 1
Density functional theory data (PBE-GGA) for a geometry-optimized Tb2PrDyS6 structure.

Fermi-level density of states	0.00	states/eV per cell
formation energy without anion corrections	-2.043	eV/atom
raw total energy	-6.384	eV/atom

Cell: 7.0208 7.0208 18.6384 Å, 90.00 90.00 120.00°
Closest atoms and distances in Å follow each position.
Space group R3 (No. 146, hexagonal axes)
Symmetry-distinct sites (fractional):
Tb  0.0000  0.0000  0.0000 x3  6 S 2.72-2.80
Tb  0.0000  0.0000  0.4962 x3  6 S 2.74-2.80
Pr  0.0000  0.0000  0.2053 x3  6 S 2.82-2.93
Dy  0.0000  0.0000  0.6990 x3  6 S 2.74-2.79
S  0.0009  0.3043  0.0972 x9  2 Tb 2.74-2.80, 1 Dy 2.74, 1 Pr 2.93
S  0.0191  0.7169  0.5980 x9  2 Tb 2.72-2.80, 1 Dy 2.79, 1 Pr 2.82

---

No. 2
Density functional theory data (PBE-GGA) for a geometry-optimized FeAgI3 structure.

Fermi-level density of states	7.48	states/eV per cell
formation energy without anion corrections	0.299	eV/atom
relative energy among the computed polymorphs	0.408	eV/atom
raw total energy	-2.894	eV/atom

Cell: 5.4967 5.4967 5.4967 Å, 90.00 90.00 90.00°
Closest atoms and distances in Å follow each position.
Space group Pm-3m (No. 221)
Symmetry-distinct sites (fractional):
Fe  0.0000  0.0000  0.0000 x1  6 I 2.75
Ag  0.5000  0.5000  0.5000 x1  12 I 3.89
I  0.0000  0.0000  0.5000 x3  2 Fe 2.75

---

No. 3
Density functional theory data (PBE-GGA) for a geometry-optimized MgNbVN2 structure.

Fermi-level density of states	5.44	states/eV per cell
formation energy without anion corrections	1.176	eV/atom
raw total energy	-6.311	eV/atom

Cell: 4.0377 4.0377 5.2133 Å, 90.00 90.00 90.00°
Closest atoms and distances in Å follow each position.
Space group P4/mmm (No. 123)
Symmetry-distinct sites (fractional):
Mg  0.0000  0.0000  0.0000 x1  2 Nb 2.61, 4 V 2.86
Nb  0.0000  0.0000  0.5000 x1  4 N 2.02
V  0.5000  0.5000  0.0000 x1  4 Mg 2.86
N  0.0000  0.5000  0.5000 x2  2 Nb 2.02

---

No. 4
Density functional theory data (PBE-GGA) for a geometry-optimized PrDyHo2Tm4 structure.

Fermi-level density of states	71.79	states/eV per cell
formation enthalpy at 0 K	42.8	kJ/mol of atoms
raw total energy	-4.110	eV/atom

Cell: 13.4932 13.2275 6.7481 Å, 90.00 120.00 90.00°
Closest atoms and distances in Å follow each position.
Space group C2/c (No. 15)
Symmetry-distinct sites (fractional):
Pr  0.0000  0.0000  0.0000 x4  6 Tm 3.34-3.41, 2 Pr 3.37
Dy  0.2500  0.2500  0.0000 x4  6 Tm 3.31-3.38, 2 Ho 3.37
Ho  0.0000  0.5000  0.0000 x4  6 Tm 3.27-3.34, 2 Ho 3.37
Ho  0.2500  0.2500  0.5000 x4  6 Tm 3.30-3.38, 2 Dy 3.37
Tm  0.0002  0.2527  0.0004 x8  3 Ho 3.27-3.38, 1 Pr 3.34, 2 Dy 3.37-3.38, 2 Tm 3.37-3.38
Tm  0.2466  0.4995  0.4956 x8  3 Ho 3.30-3.34, 1 Dy 3.31, 2 Tm 3.37, 2 Pr 3.40-3.41

---

No. 5
Density functional theory data (PBE-GGA) for a geometry-optimized KSrCa2Pt structure.

Fermi-level density of states	4.06	states/eV per cell
formation enthalpy at 0 K	-20.5	kJ/mol of atoms
relative energy among the computed polymorphs	0.193	eV/atom
raw total energy	-2.777	eV/atom

Cell: 5.6862 5.6862 6.3570 Å, 90.00 90.00 90.00°
Closest atoms and distances in Å follow each position.
Space group P4/mmm (No. 123)
Symmetry-distinct sites (fractional):
K  0.0000  0.0000  0.0000 x1  2 Pt 3.18
Sr  0.5000  0.5000  0.0000 x1  4 K 4.02, 8 Ca 4.26
Ca  0.0000  0.5000  0.5000 x2  2 Pt 2.84
Pt  0.0000  0.0000  0.5000 x1  4 Ca 2.84, 2 K 3.18

---

No. 6
Density functional theory data (PBE-GGA) for a geometry-optimized TeIN2 structure.

Fermi-level density of states	15.05	states/eV per cell
formation energy without anion corrections	1.505	eV/atom
relative energy among the computed polymorphs	0.293	eV/atom
raw total energy	-3.831	eV/atom

Cell: 6.2085 6.2085 8.5890 Å, 90.00 90.00 90.00°
Closest atoms and distances in Å follow each position.
Space group I-42d (No. 122)
Symmetry-distinct sites (fractional):
Te  0.0000  0.0000  0.0000 x4  4 N 2.04
I  0.0000  0.0000  0.5000 x4  4 N 2.99
N  0.1255  0.7500  0.1250 x8  2 Te 2.04

---

No. 7
Density functional theory data (PBE-GGA) for a geometry-optimized Nd6InSn2 structure.

Fermi-level density of states	12.57	states/eV per cell
formation enthalpy at 0 K	-46.6	kJ/mol of atoms
raw total energy	-4.855	eV/atom

Cell: 8.6735 8.6735 4.4054 Å, 90.00 90.00 120.00°
Closest atoms and distances in Å follow each position.
Space group P-62m (No. 189)
Symmetry-distinct sites (fractional):
Nd  0.0000  0.4034  0.0000 x3  4 Sn 3.44, 1 In 3.50, 6 Nd 3.57-3.80
Nd  0.0000  0.7278  0.5000 x3  2 Sn 3.19, 2 In 3.23
In  0.0000  0.0000  0.0000 x1  9 Nd 3.23-3.50
Sn  0.3333  0.6667  0.5000 x2  9 Nd 3.19-3.44

---

No. 8
Density functional theory data (PBE-GGA) for a geometry-optimized CeTh2Te3 structure.

Fermi-level density of states	21.57	states/eV per cell
formation energy without anion corrections	-0.920	eV/atom
relative energy among the computed polymorphs	0.213	eV/atom
raw total energy	-5.953	eV/atom

Cell: 6.2725 15.9601 4.0835 Å, 90.00 90.00 90.00°
Closest atoms and distances in Å follow each position.
Space group Cmmm (No. 65)
Symmetry-distinct sites (fractional):
Ce  0.0000  0.0000  0.0000 x2  6 Te 3.14-3.20
Th  0.0000  0.3506  0.5000 x4  5 Te 3.14
Te  0.0000  0.1541  0.5000 x4  3 Th 3.14, 2 Ce 3.20
Te  0.0000  0.5000  0.0000 x2  2 Ce 3.14, 4 Th 3.14

---

No. 9
Density functional theory data (PBE-GGA) for a geometry-optimized CdBi2Rh2 structure.

Fermi-level density of states	9.31	states/eV per cell
formation enthalpy at 0 K	19.7	kJ/mol of atoms
relative energy among the computed polymorphs	0.319	eV/atom
raw total energy	-4.472	eV/atom

Cell: 4.6161 4.6161 11.3648 Å, 90.00 90.00 90.00°
Closest atoms and distances in Å follow each position.
Space group I4/mmm (No. 139)
Symmetry-distinct sites (fractional):
Cd  0.0000  0.0000  0.0000 x2  8 Rh 3.50, 8 Bi 3.66
Bi  0.0000  0.5000  0.2500 x4  4 Rh 2.79
Rh  0.0000  0.0000  0.3879 x4  1 Rh 2.55, 4 Bi 2.79

---

No. 10
Density functional theory data (PBE-GGA) for a geometry-optimized AlRu structure.

Fermi-level density of states	11.08	states/eV per cell
formation enthalpy at 0 K	10.5	kJ/mol of atoms
raw total energy	-6.401	eV/atom

Cell: 4.9816 4.9816 4.9816 Å, 90.00 90.00 90.00°
Closest atoms and distances in Å follow each position.
Space group Fm-3m (No. 225)
Symmetry-distinct sites (fractional):
Al  0.0000  0.0000  0.0000 x4  6 Ru 2.49
Ru  0.0000  0.0000  0.5000 x4  6 Al 2.49

---

No. 11
Density functional theory data (PBE-GGA) for a geometry-optimized Na3Zn2Hg4 structure.

Fermi-level density of states	7.19	states/eV per cell
formation enthalpy at 0 K	-15.0	kJ/mol of atoms
raw total energy	-1.013	eV/atom

Cell: 10.7513 4.9549 9.2251 Å, 90.00 122.69 90.00°
Closest atoms and distances in Å follow each position.
Space group C2/m (No. 12)
Symmetry-distinct sites (fractional):
Na  0.0000  0.0000  0.0000 x2  8 Hg 3.18-3.46, 2 Na 3.24, 4 Zn 3.32
Na  0.1617  0.5000  0.6708 x4  2 Na 3.19-3.24, 4 Zn 3.19-3.33, 8 Hg 3.23-3.34
Zn  0.1125  0.5000  0.2837 x4  4 Hg 2.80-3.08
Hg  0.0709  0.0000  0.3933 x4  3 Zn 2.80-3.08, 1 Hg 3.07
Hg  0.2053  0.5000  0.0529 x4  1 Zn 2.80, 2 Hg 3.01

---

No. 12
Density functional theory data (PBE-GGA) for a geometry-optimized SiNi4Os structure.

Fermi-level density of states	32.52	states/eV per cell
formation energy without anion corrections	0.202	eV/atom
raw total energy	-6.428	eV/atom

Cell: 6.5434 6.5434 6.5434 Å, 90.00 90.00 90.00°
Closest atoms and distances in Å follow each position.
Space group F-43m (No. 216)
Symmetry-distinct sites (fractional):
Si  0.0000  0.0000  0.0000 x4  12 Ni 2.71, 4 Os 2.83
Ni  0.1247  0.1247  0.6247 x16  6 Ni 2.31-2.32
Os  0.2500  0.2500  0.2500 x4  12 Ni 2.71, 4 Si 2.83

---

- Which value of raw total energy does entry 9 give?
  -4.472 eV/atom